Pu2Ga6PdRh | PBE-GGA | optimized geometry

Summary:
The formation enthalpy at 0 K comes out at -0.309 eV/atom. The value obtained for the volume is 206.68 Å³/cell.

Unit cell a=7.5096 b=5.7693 c=6.7317 alpha=64.41 beta=55.97 gamma=89.77
Fractional coordinates of all 10 atoms:
Pu 0.1364 0.7518 0.5074
Pu 0.8636 0.2482 0.4926
Ga 0.2815 0.2576 0.5006
Ga 0.7185 0.7424 0.4994
Ga 0.6833 0.6761 0.1425
Ga 0.3167 0.3239 0.8575
Ga 0.3239 0.8263 0.8431
Ga 0.6761 0.1737 0.1569
Rh 0.0000 0.0000 0.0000
Pd 0.5000 0.5000 0.0000

PuGa3PdRh | PBE-GGA | optimized geometry

Summary:
The formation enthalpy at 0 K comes out at -0.344 eV/atom. The value obtained for the volume is 244.02 Å³/cell.

Unit cell a=5.5637 b=8.0206 c=6.7813 alpha=126.26 beta=90.00 gamma=90.00
Fractional coordinates of all 12 atoms:
Rh 0.2500 0.4122 0.8245
Rh 0.7500 0.5878 0.1755
Ga 0.2500 0.1834 0.3668
Ga 0.5000 0.7394 0.0000
Ga 0.5000 0.2606 0.0000
Ga 0.0000 0.7394 0.0000
Ga 0.0000 0.2606 0.0000
Ga 0.7500 0.8166 0.6332
Pu 0.2500 0.6929 0.3858
Pu 0.7500 0.3071 0.6142
Pd 0.2500 0.9509 0.9018
Pd 0.7500 0.0491 0.0982

PuGa4Pd2Rh | PBE-GGA | optimized geometry

Summary:
The formation enthalpy at 0 K comes out at -0.549 eV/atom. The value obtained for the volume is 138.98 Å³/cell.

Unit cell a=4.2850 b=4.2850 c=9.0834 alpha=76.36 beta=76.36 gamma=60.00
Fractional coordinates of all 8 atoms:
Ga 0.3989 0.3989 0.8034
Ga 0.1315 0.1315 0.6055
Ga 0.6011 0.6011 0.1966
Ga 0.8685 0.8685 0.3945
Pu 0.0000 0.0000 0.0000
Pd 0.7647 0.7647 0.7058
Pd 0.2353 0.2353 0.2942
Rh 0.5000 0.5000 0.5000

Pu2Ga4Pd3Rh | PBE-GGA | optimized geometry

Summary:
The formation enthalpy at 0 K comes out at -0.598 eV/atom. The value obtained for the volume is 188.93 Å³/cell.

Unit cell a=4.2368 b=4.2368 c=10.5250 alpha=90.00 beta=90.00 gamma=90.00
Fractional coordinates of all 10 atoms:
Pu 0.0000 0.5000 0.7458
Pu 0.5000 0.0000 0.2542
Pd 0.5000 0.0000 0.8648
Pd 0.0000 0.5000 0.1352
Pd 0.0000 0.0000 0.5000
Rh 0.5000 0.5000 0.5000
Ga 0.5000 0.5000 0.0000
Ga 0.5000 0.0000 0.6282
Ga 0.0000 0.0000 0.0000
Ga 0.0000 0.5000 0.3718

PuGaPdRu | PBE-GGA | optimized geometry

Summary:
The formation enthalpy at 0 K comes out at -0.338 eV/atom. The value obtained for the volume is 70.04 Å³/cell.

Unit cell a=4.6269 b=4.6269 c=4.6269 alpha=60.00 beta=60.00 gamma=60.00
Fractional coordinates of all 4 atoms:
Pu 0.5000 0.5000 0.5000
Ga 0.0000 0.0000 0.0000
Pd 0.7500 0.7500 0.7500
Ru 0.2500 0.2500 0.2500

PuGaSbPd | PBE-GGA | optimized geometry

Summary:
The value obtained for the volume is 84.94 Å³/cell. As for the total energy: -7.0545 eV/atom.

Unit cell a=4.9341 b=4.9341 c=4.9341 alpha=60.00 beta=60.00 gamma=60.00
Fractional coordinates of all 4 atoms:
Pd 0.5000 0.5000 0.5000
Sb 0.7500 0.7500 0.7500
Pu 0.0000 0.0000 0.0000
Ga 0.2500 0.2500 0.2500

PuScGaPd | PBE-GGA | optimized geometry

Summary:
The formation enthalpy at 0 K comes out at -0.445 eV/atom. The value obtained for the volume is 83.31 Å³/cell.

Unit cell a=4.9024 b=4.9024 c=4.9024 alpha=60.00 beta=60.00 gamma=60.00
Fractional coordinates of all 4 atoms:
Pd 0.5000 0.5000 0.5000
Ga 0.0000 0.0000 0.0000
Sc 0.2500 0.2500 0.2500
Pu 0.7500 0.7500 0.7500

PuSc2GaPd4 | PBE-GGA | optimized geometry

Summary:
The formation enthalpy at 0 K comes out at -0.674 eV/atom. The value obtained for the volume is 148.31 Å³/cell.

Unit cell a=4.6337 b=4.6337 c=8.4126 alpha=74.01 beta=74.01 gamma=60.00
Fractional coordinates of all 8 atoms:
Sc 0.2422 0.2422 0.2733
Sc 0.7578 0.7578 0.7267
Pd 0.6077 0.6077 0.1770
Pd 0.3923 0.3923 0.8230
Pd 0.1279 0.1279 0.6162
Pd 0.8721 0.8721 0.3838
Pu 0.0000 0.0000 0.0000
Ga 0.5000 0.5000 0.5000

PuGaSiPd | PBE-GGA | optimized geometry

Summary:
The value obtained for the volume is 72.32 Å³/cell. As for the total energy: -7.3416 eV/atom.

Unit cell a=4.6765 b=4.6765 c=4.6765 alpha=60.00 beta=60.00 gamma=60.00
Fractional coordinates of all 4 atoms:
Si 0.5000 0.5000 0.5000
Ga 0.0000 0.0000 0.0000
Pu 0.7500 0.7500 0.7500
Pd 0.2500 0.2500 0.2500

Pu2GaSi3Pd4 | PBE-GGA | optimized geometry

Summary:
The value obtained for the volume is 179.42 Å³/cell. As for the total energy: -7.5413 eV/atom.

Unit cell a=4.2018 b=4.2018 c=10.1630 alpha=90.00 beta=90.00 gamma=90.00
Fractional coordinates of all 10 atoms:
Pu 0.5000 0.0000 0.2512
Pu 0.0000 0.5000 0.7488
Pd 0.5000 0.5000 0.0000
Pd 0.0000 0.5000 0.3664
Pd 0.0000 0.0000 0.0000
Pd 0.5000 0.0000 0.6336
Si 0.0000 0.0000 0.5000
Si 0.5000 0.0000 0.8692
Si 0.0000 0.5000 0.1308
Ga 0.5000 0.5000 0.5000

SmPuGaPd | PBE-GGA | optimized geometry

Summary:
The formation enthalpy at 0 K comes out at -0.428 eV/atom. The value obtained for the volume is 93.21 Å³/cell.

Unit cell a=5.0894 b=5.0894 c=5.0894 alpha=60.00 beta=60.00 gamma=60.00
Fractional coordinates of all 4 atoms:
Ga 0.2500 0.2500 0.2500
Sm 0.5000 0.5000 0.5000
Pu 0.0000 0.0000 0.0000
Pd 0.7500 0.7500 0.7500

PuGaSnPd | PBE-GGA | optimized geometry

Summary:
The formation enthalpy at 0 K comes out at -0.327 eV/atom. The value obtained for the volume is 83.41 Å³/cell.

Unit cell a=4.9043 b=4.9043 c=4.9043 alpha=60.00 beta=60.00 gamma=60.00
Fractional coordinates of all 4 atoms:
Ga 0.7500 0.7500 0.7500
Pd 0.5000 0.5000 0.5000
Pu 0.0000 0.0000 0.0000
Sn 0.2500 0.2500 0.2500

Pu2Ga4SnPd3 | PBE-GGA | optimized geometry

Summary:
The formation enthalpy at 0 K comes out at -0.506 eV/atom. The value obtained for the volume is 199.47 Å³/cell.

Unit cell a=4.1916 b=4.1916 c=11.3528 alpha=90.00 beta=90.00 gamma=90.00
Fractional coordinates of all 10 atoms:
Ga 0.0000 0.0000 0.0000
Ga 0.5000 0.5000 0.0000
Ga 0.5000 0.0000 0.6517
Ga 0.0000 0.5000 0.3483
Sn 0.5000 0.5000 0.5000
Pd 0.5000 0.0000 0.8692
Pd 0.0000 0.0000 0.5000
Pd 0.0000 0.5000 0.1308
Pu 0.0000 0.5000 0.7619
Pu 0.5000 0.0000 0.2381

Sr2PuGa3Pd4 | PBE-GGA | optimized geometry

Summary:
The formation enthalpy at 0 K comes out at -0.631 eV/atom. The value obtained for the volume is 220.24 Å³/cell.

Unit cell a=4.4473 b=4.4473 c=11.1353 alpha=90.00 beta=90.00 gamma=90.00
Fractional coordinates of all 10 atoms:
Pd 0.5000 0.0000 0.6554
Pd 0.5000 0.5000 0.0000
Pd 0.0000 0.5000 0.3446
Pd 0.0000 0.0000 0.0000
Sr 0.0000 0.5000 0.7702
Sr 0.5000 0.0000 0.2298
Pu 0.5000 0.5000 0.5000
Ga 0.5000 0.0000 0.8853
Ga 0.0000 0.5000 0.1147
Ga 0.0000 0.0000 0.5000

TbPuGa2Pd2 | PBE-GGA | optimized geometry

Summary:
The formation enthalpy at 0 K comes out at -0.694 eV/atom. The value obtained for the volume is 121.59 Å³/cell.

Unit cell a=4.5175 b=4.5175 c=6.8796 alpha=90.00 beta=90.00 gamma=120.00
Fractional coordinates of all 6 atoms:
Ga 0.3333 0.6667 0.7451
Ga 0.6667 0.3333 0.2549
Pd 0.3333 0.6667 0.2570
Pd 0.6667 0.3333 0.7430
Tb 0.0000 0.0000 0.5000
Pu 0.0000 0.0000 0.0000

TbPuGaPd | PBE-GGA | optimized geometry

Summary:
The formation enthalpy at 0 K comes out at -0.457 eV/atom. The value obtained for the volume is 90.86 Å³/cell.

Unit cell a=5.0462 b=5.0462 c=5.0462 alpha=60.00 beta=60.00 gamma=60.00
Fractional coordinates of all 4 atoms:
Pd 0.2500 0.2500 0.2500
Tb 0.0000 0.0000 0.0000
Pu 0.5000 0.5000 0.5000
Ga 0.7500 0.7500 0.7500

PuGaTcPd | PBE-GGA | optimized geometry

Summary:
The formation enthalpy at 0 K comes out at -0.246 eV/atom. The value obtained for the volume is 69.70 Å³/cell.

Unit cell a=4.6195 b=4.6195 c=4.6195 alpha=60.00 beta=60.00 gamma=60.00
Fractional coordinates of all 4 atoms:
Pu 0.5000 0.5000 0.5000
Pd 0.2500 0.2500 0.2500
Ga 0.0000 0.0000 0.0000
Tc 0.7500 0.7500 0.7500

Pu2TiGa4Pd3 | PBE-GGA | optimized geometry

Summary:
The formation enthalpy at 0 K comes out at -0.497 eV/atom. The value obtained for the volume is 191.95 Å³/cell.

Unit cell a=4.1038 b=4.1038 c=11.3976 alpha=90.00 beta=90.00 gamma=90.00
Fractional coordinates of all 10 atoms:
Pd 0.0000 0.5000 0.1355
Pd 0.0000 0.0000 0.5000
Pd 0.5000 0.0000 0.8645
Ga 0.5000 0.5000 0.0000
Ga 0.0000 0.0000 0.0000
Ga 0.5000 0.0000 0.6444
Ga 0.0000 0.5000 0.3556
Pu 0.5000 0.0000 0.2497
Pu 0.0000 0.5000 0.7503
Ti 0.5000 0.5000 0.5000

TmPuGa2Pd2 | PBE-GGA | optimized geometry

Summary:
The formation enthalpy at 0 K comes out at -0.701 eV/atom. The value obtained for the volume is 119.50 Å³/cell.

Unit cell a=4.5029 b=4.5029 c=6.8051 alpha=90.00 beta=90.00 gamma=120.00
Fractional coordinates of all 6 atoms:
Pd 0.6667 0.3333 0.7295
Pd 0.3333 0.6667 0.2705
Pu 0.0000 0.0000 0.0000
Tm 0.0000 0.0000 0.5000
Ga 0.6667 0.3333 0.2637
Ga 0.3333 0.6667 0.7363

YPuGaPd | PBE-GGA | optimized geometry

Summary:
The formation enthalpy at 0 K comes out at -0.461 eV/atom. The value obtained for the volume is 90.77 Å³/cell.

Unit cell a=5.0446 b=5.0446 c=5.0446 alpha=60.00 beta=60.00 gamma=60.00
Fractional coordinates of all 4 atoms:
Y 0.2500 0.2500 0.2500
Ga 0.0000 0.0000 0.0000
Pd 0.5000 0.5000 0.5000
Pu 0.7500 0.7500 0.7500